# Rb2ZrMo3O12 | the Alexandria database | meta-GGA SCAN | single point on PBEsol structure
data_Rb2ZrMo3O12
_cell_length_a 18.5734
_cell_length_b 6.7671
_cell_length_c 10.7309
_cell_angle_alpha 90.00
_cell_angle_beta 105.78
_cell_angle_gamma 90.00
_symmetry_space_group_name_H-M 'C 1 2/c 1'
_symmetry_Int_Tables_number 15
loop_
_symmetry_equiv_pos_as_xyz
'x,y,z'
'-x,-y,-z'
'-x,y,-z+1/2'
'x,-y,z+1/2'
'x+1/2,y+1/2,z'
'-x+1/2,-y+1/2,-z'
'-x+1/2,y+1/2,-z+1/2'
'x+1/2,-y+1/2,z+1/2'
loop_
_atom_site_label
_atom_site_type_symbol
_atom_site_fract_x
_atom_site_fract_y
_atom_site_fract_z
Rb1 Rb 0.1669 0.0494 0.0577
Zr1 Zr 0.0000 0.5000 0.0000
Mo1 Mo 0.0000 0.1049 0.7500
Mo2 Mo 0.1366 0.3926 0.3266
O1 O 0.0191 0.2537 0.8952
O2 O 0.0766 0.0419 0.2566
O3 O 0.0783 0.3400 0.4351
O4 O 0.0864 0.4150 0.1559
O5 O 0.1748 0.3781 0.8730
O6 O 0.2126 0.2374 0.3494
# E_tot, eV/atom: -16.457
# Formation energy (no corrections), eV per formula unit: -44.6
# D(E_F), states/eV per cell: 0.00